(1)
12
Lattice="6.9649 0.0000 0.0000 0.0000 6.9649 0.0000 0.0000 0.0000 6.9649" Properties=species:S:1:pos:R:3 comment="Mg2Zr (PBE, relaxed)" crystal_system=cubic e_form_mev_per_atom=1054 pbc="T T T"
Mg 0.8404 0.8404 0.8404
Mg 0.8404 2.6420 4.3229
Mg 2.6420 4.3229 0.8404
Mg 2.6420 6.1244 4.3229
Mg 4.3229 0.8404 2.6420
Mg 4.3229 2.6420 6.1244
Mg 6.1244 4.3229 2.6420
Mg 6.1244 6.1244 6.1244
Zr 0.0000 0.0000 3.4824
Zr 0.0000 3.4824 0.0000
Zr 3.4824 0.0000 0.0000
Zr 3.4824 3.4824 3.4824

(2)
8
Lattice="4.9982 0.0000 0.0000 -2.4991 4.3285 0.0000 0.0000 0.0000 8.7179" Properties=species:S:1:pos:R:3 comment="MgZr (PBE, relaxed)" crystal_system=hexagonal e_form_mev_per_atom=411 pbc="T T T"
Mg 0.0000 2.8857 0.7847
Mg 0.0000 2.8857 3.5742
Mg 2.4991 1.4428 5.1437
Mg 2.4991 1.4428 7.9332
Zr 0.0000 0.0000 2.1795
Zr 0.0000 0.0000 6.5385
Zr 0.0000 2.8857 6.5385
Zr 2.4991 1.4428 2.1795

(3)
7
Lattice="-3.7819 3.7819 3.7819 3.7819 -3.7819 3.7819 3.7819 3.7819 -3.7819" Properties=species:S:1:pos:R:3 comment="Mg6Zr (PBE, relaxed)" crystal_system=cubic e_form_mev_per_atom=1111 pbc="T T T"
Mg 3.7819 1.8910 0.0000
Mg 3.7819 0.0000 1.8910
Mg 1.8910 3.7819 0.0000
Mg 1.8910 0.0000 3.7819
Mg 0.0000 3.7819 1.8910
Mg 0.0000 1.8910 3.7819
Zr 0.0000 0.0000 0.0000

(4)
9
Lattice="8.6784 0.0000 0.0000 -4.3392 7.5157 0.0000 0.0000 0.0000 3.1249" Properties=species:S:1:pos:R:3 comment="MgZr2 (PBE, relaxed)" crystal_system=hexagonal e_form_mev_per_atom=124 pbc="T T T"
Mg 0.0000 0.0000 0.0000
Mg 0.0000 5.0105 1.5624
Mg 4.3392 2.5052 1.5624
Zr -1.2958 2.2444 1.5624
Zr -2.7822 4.8190 0.0000
Zr 2.5916 0.0000 1.5624
Zr 1.5569 2.6967 0.0000
Zr 5.5645 0.0000 0.0000
Zr 3.0434 5.2713 1.5624

(5)
4
Lattice="-1.5755 5.1603 2.8003 1.5755 -5.1603 2.8003 1.5755 5.1603 -2.8003" Properties=species:S:1:pos:R:3 comment="MgZr3 (PBE, relaxed)" crystal_system=orthorhombic e_form_mev_per_atom=37 pbc="T T T"
Mg 0.0000 0.0000 0.0000
Zr 1.5755 2.5383 0.9777
Zr 0.0000 5.1603 0.1157
Zr 0.0000 2.6220 3.7781

(6)
4
Lattice="4.8184 0.0000 0.0000 -2.4092 4.1728 0.0000 0.0000 0.0000 5.4553" Properties=species:S:1:pos:R:3 comment="MgZr (PBE, relaxed)" crystal_system=hexagonal e_form_mev_per_atom=765 pbc="T T T"
Mg 0.0000 2.7819 1.3638
Mg 2.4092 1.3909 4.0915
Zr 0.0000 0.0000 0.0000
Zr 0.0000 0.0000 2.7276

(7)
4
Lattice="5.0393 0.0000 0.0000 -2.5197 4.3642 0.0000 0.0000 0.0000 5.6484" Properties=species:S:1:pos:R:3 comment="MgZr (PBE, relaxed)" crystal_system=hexagonal e_form_mev_per_atom=1407 pbc="T T T"
Mg 0.0000 2.9095 1.4121
Mg 2.5197 1.4547 4.2363
Zr 0.0000 2.9095 4.2363
Zr 2.5197 1.4547 1.4121

(8)
12
Lattice="-2.2324 2.2324 13.4864 2.2324 -2.2324 13.4864 2.2324 2.2324 -13.4864" Properties=species:S:1:pos:R:3 comment="Mg2Zr (PBE, relaxed)" crystal_system=tetragonal e_form_mev_per_atom=41 pbc="T T T"
Mg 2.2324 1.1162 -3.3884
Mg 2.2324 1.1162 1.0982
Mg 0.0000 1.1162 3.3548
Mg 2.2324 1.1162 5.6450
Mg 0.0000 1.1162 7.8414
Mg 2.2324 1.1162 10.1316
Mg 0.0000 1.1162 12.3882
Mg 0.0000 1.1162 16.8748
Zr 2.2324 -1.1162 7.8222
Zr 2.2324 -1.1162 12.4074
Zr 0.0000 3.3485 1.0790
Zr 0.0000 3.3485 5.6642